An optimized crystal structure of ReHgP2O. Source: Alexandria via LeMat-Bulk, functional GGA-PBE.

Values from the calculation:
Energy relative to the lowest polymorph listed for this composition (eV per formula unit): 0.00
Total DFT energy (no corrections) (eV per formula unit): -28.853
Crystal system: tetragonal
Formation energy (no corrections) (eV per atom): -0.07

Unit cell a=4.823 b=4.823 c=3.758 alpha=90.00 beta=90.00 gamma=90.00
Space group P4/mmm (No. 123)
Symmetry-distinct sites (fractional):
Re (0.000, 0.000, 0.000)
Hg (0.500, 0.500, 0.500)
P (0.000, 0.500, 0.000)
O (0.000, 0.000, 0.500)

An optimized crystal structure of HgP2RhO8. Source: Alexandria via LeMat-Bulk, functional GGA-PBE.

Values from the calculation:
Total DFT energy (no corrections) (eV per formula unit): -74.563
Crystal system: trigonal
Formation energy (no corrections) (eV per atom): -1.37

Unit cell a=4.7340 b=4.7340 c=22.1526 alpha=90.00 beta=90.00 gamma=120.00
Space group R-3 (No. 148, hexagonal axes)
Symmetry-distinct sites (fractional):
Hg (0.0000, 0.0000, 0.0000)
P (0.0000, 0.0000, 0.2431)
Rh (0.0000, 0.0000, 0.5000)
O (0.0000, 0.0000, 0.3131)
O (0.0112, 0.3186, 0.2213)

An optimized crystal structure of HgPRhO2. Source: Alexandria via LeMat-Bulk, functional GGA-PBE.

Values from the calculation:
Energy relative to the lowest polymorph listed for this composition (eV per formula unit): 5.66
Total DFT energy (no corrections) (eV per formula unit): -17.611
Crystal system: tetragonal
Formation energy (no corrections) (eV per atom): 1.07

Unit cell a=3.978 b=3.978 c=5.549 alpha=90.00 beta=90.00 gamma=90.00
Space group P4/mmm (No. 123)
Symmetry-distinct sites (fractional):
Hg (0.000, 0.000, 0.000)
P (0.000, 0.000, 0.500)
Rh (0.500, 0.500, 0.500)
O (0.000, 0.500, 0.000)

An optimized crystal structure of HgPRhO2. Source: Alexandria via LeMat-Bulk, functional GGA-PBE.

Values from the calculation:
Energy relative to the lowest polymorph listed for this composition (eV per formula unit): 0.00
Total DFT energy (no corrections) (eV per formula unit): -23.267
Crystal system: tetragonal
Formation energy (no corrections) (eV per atom): -0.06

Unit cell a=3.834 b=3.834 c=5.249 alpha=90.00 beta=90.00 gamma=90.00
Space group P4/mmm (No. 123)
Symmetry-distinct sites (fractional):
Hg (0.000, 0.000, 0.000)
P (0.500, 0.500, 0.000)
Rh (0.500, 0.500, 0.500)
O (0.000, 0.500, 0.500)

no.,total magnetic moment (μB per cell)
1,0.00
2,3.22
3,2.14
4,1.50